Record 1
Density functional theory data (GGA-PBE) for a geometry-optimized NaCa2La3Te6 structure.

Cell and atoms, written as extended XYZ:
```
12
Lattice="-6.8259 0.7612 -3.8466 5.4280 -5.0809 -2.5863 -2.5376 -3.9408 6.4055" Properties=species:S:1:pos:R:3 pbc="T T T"
La -1.9677 -4.1303 -0.0137
Na 0.0000 0.0000 0.0000
Te -1.6567 -4.1748 -3.2446
Te -2.2788 -4.0857 3.2172
La 2.1360 -6.0868 0.4084
Ca -2.7448 -1.1845 -3.4268
Te -5.0210 -5.2405 -0.2015
Te -0.9119 -7.1995 0.2211
La -6.0715 -2.1738 -0.4357
Te 1.0855 -3.0201 0.1741
Ca 1.3469 -3.1353 -3.0060
Te -3.0235 -1.0611 -0.2485
```

Properties
Its size of the total moment is 0.00 μB per formula unit. Its density is 5.31 g cm⁻³. The value obtained for the total energy is -4.78 eV per atom. As for the volume: 402.1 Å³/cell.

---

Record 2
Density functional theory data (GGA-PBE) for a geometry-optimized Ir2PtCl structure.

Cell and atoms, written as extended XYZ:
```
4
Lattice="-2.2505 -1.5768 -0.8442 1.2459 -0.4084 -2.5583 3.4375 -6.3448 2.6870" Properties=species:S:1:pos:R:3 pbc="T T T"
Cl 2.0758 -5.7512 0.3140
Ir 0.0625 -0.1153 0.0488
Ir 1.6563 -3.0571 1.2947
Pt 0.3571 -2.5788 -1.0295
```

Properties
As for the relative energy among the computed polymorphs: 1.385 eV/f.u. Its size of the total moment is 0.00 μB per formula unit. Its density is 16.05 g cm⁻³. The value obtained for the total energy is -5.71 eV per atom. As for the volume: 63.6 Å³/cell.

---

Record 3
Density functional theory data (GGA-PBE) for a geometry-optimized Ba2Cd5Pt5 structure.

Cell and atoms, written as extended XYZ:
```
12
Lattice="4.4973 0.0000 0.0000 0.0000 5.8879 0.0000 0.0000 0.0000 10.2115" Properties=species:S:1:pos:R:3 pbc="T T T"
Pt 2.2487 1.4771 2.6059
Pt 2.2487 1.4771 7.6057
Ba 0.0000 2.9440 0.0000
Cd 0.0000 2.9440 3.3985
Cd 0.0000 0.0000 8.3998
Ba 0.0000 0.0000 5.1058
Pt 2.2487 4.4109 7.6057
Pt 2.2487 4.4109 2.6059
Cd 0.0000 0.0000 1.8118
Cd 2.2487 0.0000 0.0000
Cd 0.0000 2.9440 6.8131
Pt 2.2487 2.9440 5.1058
```

Properties
The value obtained for the energy of formation from the pure elements is -0.4669 eV/atom. Its size of the total moment is 0.00 μB per formula unit. Its density is 11.13 g cm⁻³. The value obtained for the total energy is -3.69 eV per atom. As for the volume: 270.4 Å³/cell.

---

Record 4
Density functional theory data (GGA-PBE) for a geometry-optimized Np4Ga12Au structure.

Cell and atoms, written as extended XYZ:
```
17
Lattice="-3.9094 5.6940 2.9519 -4.6109 -4.4190 -3.9536 3.1686 -3.9889 5.5198" Properties=species:S:1:pos:R:3 pbc="T T T"
Ga -4.6208 -1.4645 -0.1093
Ga -0.2233 0.5140 2.5538
Ga -5.9520 0.8907 -0.6997
Np -2.3055 -2.2095 -1.9768
Ga -2.5684 0.3843 -0.3020
Ga -2.5005 1.1713 3.9854
Au 0.0000 0.0000 0.0000
Ga -4.4454 1.0638 1.6171
Ga -1.0075 -5.8734 1.0941
Np -1.9547 2.8470 1.4759
Np 1.5843 -1.9944 2.7599
Ga -0.7310 -1.2494 4.6274
Np -2.6759 -1.3569 2.2591
Ga -0.5175 1.1912 5.9179
Ga -2.8512 -3.8852 0.5327
Ga -0.4348 -2.5345 0.4721
Ga -0.9064 -3.7777 2.9010
```

Properties
The value obtained for the energy of formation from the pure elements is -0.2290 eV/atom. Its size of the total moment is 16.11 μB per formula unit. Its density is 10.09 g cm⁻³. The value obtained for the total energy is -5.60 eV per atom. As for the volume: 326.2 Å³/cell.

---

Record 5
Density functional theory data (GGA-PBE) for a geometry-optimized Cs2As2Rh structure.

Cell and atoms, written as extended XYZ:
```
10
Lattice="6.6465 0.0000 0.0000 0.0000 6.6465 0.0000 0.0000 0.0000 6.1617" Properties=species:S:1:pos:R:3 pbc="T T T"
Rh 0.0000 0.0000 0.0000
As 0.9119 2.4114 0.0000
As 2.4114 5.7346 0.0000
Cs 5.4369 2.1136 3.0809
Cs 2.1136 1.2096 3.0809
As 4.2351 0.9119 0.0000
Cs 4.5329 5.4369 3.0809
As 5.7346 4.2351 0.0000
Cs 1.2096 4.5329 3.0809
Rh 3.3232 3.3232 0.0000
```

Properties
The value obtained for the energy of formation from the pure elements is -0.1876 eV/atom. Its size of the total moment is 0.00 μB per formula unit. Its density is 6.33 g cm⁻³. The value obtained for the total energy is -3.86 eV per atom. As for the volume: 272.2 Å³/cell.

---

Record 6
Density functional theory data (GGA-PBE) for a geometry-optimized K4Na3Cd2 structure.

Cell and atoms, written as extended XYZ:
```
9
Lattice="4.8834 0.0000 -1.3465 -0.7766 8.7577 -2.8167 0.0892 -0.2426 9.8524" Properties=species:S:1:pos:R:3 pbc="T T T"
K 0.6491 5.7966 2.3543
Cd 1.6209 4.6806 5.8788
K 2.2333 7.5186 -1.4289
K 1.9627 0.9965 7.1182
Na -0.3883 4.3789 -1.4083
K 3.5468 2.7186 3.3349
Na 3.9146 6.7324 4.6688
Na 0.2814 1.7828 1.0204
Cd 2.5751 3.8346 -0.1895
```

Properties
The value obtained for the energy of formation from the pure elements is -0.0189 eV/atom. Its size of the total moment is 0.00 μB per formula unit. Its density is 1.78 g cm⁻³. The value obtained for the total energy is -1.15 eV per atom. As for the volume: 418.8 Å³/cell.

---

Record 7
Density functional theory data (GGA-PBE) for a geometry-optimized TiMnC2Se structure.

Cell and atoms, written as extended XYZ:
```
5
Lattice="3.8833 0.0000 0.0000 0.0000 4.7681 0.0000 0.0000 0.0000 3.8833" Properties=species:S:1:pos:R:3 pbc="T T T"
C 1.9417 0.0000 0.0000
C 0.0000 0.0000 1.9417
Se 0.0000 0.0000 0.0000
Ti 0.0000 2.3840 0.0000
Mn 1.9417 2.3840 1.9417
```

Properties
Its size of the total moment is 0.02 μB per formula unit. Its density is 4.75 g cm⁻³. The value obtained for the total energy is -5.32 eV per atom. As for the volume: 71.9 Å³/cell.

---

Record 8
Density functional theory data (GGA-PBE) for a geometry-optimized Sm2TmZn2In2 structure.

Cell and atoms, written as extended XYZ:
```
7
Lattice="-4.0189 -2.4394 0.1572 -1.2694 -2.1886 3.9656 -6.2564 6.0374 4.1192" Properties=species:S:1:pos:R:3 pbc="T T T"
Sm -4.5543 3.1662 3.0795
In -2.6570 -0.0343 1.9205
Tm 0.0000 0.0000 0.0000
Zn -7.2453 3.1894 5.0208
Zn -4.2993 -1.7800 3.2212
Sm -6.9903 -1.7568 5.1625
In -8.8877 1.4437 6.3215
```

Properties
The value obtained for the energy of formation from the pure elements is -0.2768 eV/atom. Its size of the total moment is 0.00 μB per formula unit. Its density is 7.79 g cm⁻³. The value obtained for the total energy is -3.41 eV per atom. As for the volume: 176.9 Å³/cell.

---

Record 9
Density functional theory data (GGA-PBE) for a geometry-optimized NaSr2AlIr structure.

Cell and atoms, written as extended XYZ:
```
5
Lattice="5.9208 0.0000 0.0000 0.0000 5.9208 0.0000 0.0000 0.0000 4.8482" Properties=species:S:1:pos:R:3 pbc="T T T"
Al 0.0000 0.0000 2.4241
Sr 0.0000 2.9604 0.0000
Sr 2.9604 0.0000 0.0000
Na 2.9604 2.9604 2.4241
Ir 0.0000 0.0000 0.0000
```

Properties
The value obtained for the energy of formation from the pure elements is -0.1928 eV/atom. Its size of the total moment is 0.00 μB per formula unit. Its density is 4.08 g cm⁻³. The value obtained for the total energy is -3.65 eV per atom. As for the volume: 170.0 Å³/cell.

---

Record 10
Density functional theory data (GGA-PBE) for a geometry-optimized Ac2InSi structure.

Cell and atoms, written as extended XYZ:
```
4
Lattice="4.0798 0.0000 0.0000 0.0000 4.0798 0.0000 0.0000 0.0000 7.5217" Properties=species:S:1:pos:R:3 pbc="T T T"
Ac 0.0000 0.0000 1.6699
In 2.0399 2.0399 3.7609
Ac 0.0000 0.0000 5.8518
Si 2.0399 2.0399 0.0000
```

Properties
Its size of the total moment is 0.00 μB per formula unit. Its density is 7.92 g cm⁻³. The value obtained for the total energy is -4.47 eV per atom. As for the volume: 125.2 Å³/cell.

---

Record 11
Density functional theory data (GGA-PBE) for a geometry-optimized Hf4MoIr3 structure.

Cell and atoms, written as extended XYZ:
```
8
Lattice="-0.2170 -4.4024 -1.5280 -0.1468 -1.5225 4.4072 -6.2709 3.3141 -1.5362" Properties=species:S:1:pos:R:3 pbc="T T T"
Hf -1.7907 -2.8747 1.4155
Mo -0.1085 -2.2012 -0.7640
Hf -4.8440 0.2640 -0.0725
Ir -0.0734 -0.7612 2.2036
Hf -5.0259 -2.6984 1.3670
Ir -3.3311 -2.0253 -0.8131
Hf -1.6088 0.0876 -0.0240
Ir -3.3035 -0.5855 2.1561
```

Properties
The value obtained for the energy of formation from the pure elements is -0.8205 eV/atom. Its size of the total moment is 0.00 μB per formula unit. Its density is 16.37 g cm⁻³. The value obtained for the total energy is -10.47 eV per atom. As for the volume: 140.7 Å³/cell.

---

Record 12
Density functional theory data (GGA-PBE) for a geometry-optimized EuHCl structure.

Cell and atoms, written as extended XYZ:
```
3
Lattice="-4.2779 1.7006 0.1822 -3.4753 -2.6566 1.4457 -1.9822 0.8174 4.0778" Properties=species:S:1:pos:R:3 pbc="T T T"
H -4.8677 -0.0693 2.8529
Eu -2.4339 -0.0346 1.4264
Cl 0.0000 0.0000 0.0000
```

Properties
Its size of the total moment is 7.00 μB per formula unit. Its density is 4.52 g cm⁻³. The value obtained for the total energy is -6.48 eV per atom. As for the volume: 69.1 Å³/cell.